This record from Alexandria via LeMat-Bulk describes a geometry-optimized NaSnTe2 structure. The functional is PBE. Values from VASP.

```
&SYSTEM
  ibrav = 0, nat = 4, ntyp = 3
/
ATOMIC_SPECIES
Na 22.99 Na.upf
Te 127.60 Te.upf
Sn 118.71 Sn.upf
ATOMIC_POSITIONS angstrom
Na 0.000 0.000 0.000
Te 0.000 0.000 2.929
Te 0.000 0.000 24.927
Sn 0.000 0.000 13.928
CELL_PARAMETERS angstrom
2.547 0.000 9.285
-1.273 2.206 9.285
-1.273 -2.206 9.285
```

## Properties
Its formation energy without anion corrections is -1.182 eV/f.u. The density of states at the Fermi level is 2.93 states/eV/f.u. The space group is No. 166.

This record from Alexandria via LeMat-Bulk describes a geometry-optimized NaSn2Te2 structure. The functional is PBE. Values from VASP.

```
&SYSTEM
  ibrav = 0, nat = 5, ntyp = 3
/
ATOMIC_SPECIES
Na 22.99 Na.upf
Te 127.60 Te.upf
Sn 118.71 Sn.upf
ATOMIC_POSITIONS angstrom
Na 0.000 0.000 0.000
Te 5.956 2.978 2.457
Te 2.978 5.956 2.457
Sn 2.978 2.978 1.525
Sn 5.956 5.956 3.389
CELL_PARAMETERS angstrom
5.956 0.000 0.000
0.000 5.956 0.000
2.978 2.978 4.914
```

## Properties
Its formation energy without anion corrections is -1.416 eV/f.u. The density of states at the Fermi level is 1.71 states/eV/f.u. The space group is No. 139.

This record from Alexandria via LeMat-Bulk describes a geometry-optimized NaSn2Te4 structure. The functional is PBE. Values from VASP.

```
&SYSTEM
  ibrav = 0, nat = 14, ntyp = 3
/
ATOMIC_SPECIES
Na 22.99 Na.upf
Sn 118.71 Sn.upf
Te 127.60 Te.upf
ATOMIC_POSITIONS angstrom
Na -5.060 -0.631 1.841
Na 0.000 0.000 0.000
Sn -3.590 -2.998 -2.911
Sn -1.229 -4.300 0.349
Sn -3.464 -4.260 3.939
Sn -4.891 0.986 -2.339
Te -1.667 -6.318 2.494
Te -1.638 -4.418 -4.849
Te -5.539 -1.580 -0.975
Te -0.797 -2.280 -1.796
Te -2.453 -2.103 2.153
Te -3.666 -5.428 -1.192
Te -0.007 -6.494 -1.453
Te -3.515 -0.571 -4.634
CELL_PARAMETERS angstrom
-4.467 0.080 7.183
-4.720 2.603 -6.520
2.600 -7.969 -1.144
```

## Properties
Its formation energy without anion corrections is -1.892 eV/f.u. The density of states at the Fermi level is 2.13 states/eV/f.u. The space group is No. 141.